Version i
Ca3TlCd2 PBE relaxed; space-group type = P4/mmm (123); total magnetic moment = 0.00 μB per cell
1.0
3.878 0.000 0.000
0.000 3.878 0.000
0.000 0.000 11.419
Ca Tl Cd
3 1 2
direct
0.000 0.000 0.000
0.000 0.000 0.331
0.000 0.000 0.669
0.500 0.500 0.500
0.500 0.500 0.167
0.500 0.500 0.833



Version ii
Ca3TlCd2 PBE relaxed; space-group type = Cmmm (65); total magnetic moment = 0.00 μB per cell
1.0
2.693 -8.045 0.000
2.693 8.045 0.000
0.000 0.000 3.962
Ca Tl Cd
3 1 2
direct
0.000 0.000 0.000
0.333 0.667 0.000
0.667 0.333 0.000
0.500 0.500 0.500
0.167 0.833 0.500
0.833 0.167 0.500



Result of the stability comparison: version i is the least stable of them.



Version i
Ca2Tl4Cd PBE relaxed; space-group type = I4/mmm (139); total magnetic moment = 0.00 μB per cell
1.0
-2.818 2.818 8.043
2.818 -2.818 8.043
2.818 2.818 -8.043
Ca Tl Cd
2 4 1
direct
0.117 0.117 0.000
0.883 0.883 0.000
0.000 0.500 0.500
0.315 0.315 0.000
0.500 0.000 0.500
0.685 0.685 0.000
0.500 0.500 0.000



Version ii
Ca2Tl4Cd PBE relaxed; space-group type = Cmmm (65); total magnetic moment = 0.00 μB per cell
1.0
4.744 -4.747 0.000
4.744 4.747 0.000
0.000 0.000 4.742
Ca Tl Cd
2 4 1
direct
0.233 0.233 0.000
0.767 0.767 0.000
0.000 0.500 0.500
0.262 0.738 0.000
0.500 0.000 0.500
0.738 0.262 0.000
0.500 0.500 0.500



Result of the stability comparison: version i is the least stable of them.



Version i
Ca2TmCd PBE relaxed; space-group type = R-3m (166); total magnetic moment = 0.03 μB per cell
1.0
1.816 1.048 12.441
-1.816 1.048 12.441
0.000 -2.097 12.441
Ca Tm Cd
2 1 1
direct
0.087 0.087 0.087
0.913 0.913 0.913
0.500 0.500 0.500
0.000 0.000 0.000



Version ii
Ca2TmCd PBE relaxed; space-group type = P4/mmm (123); total magnetic moment = 0.00 μB per cell
1.0
4.093 0.000 0.000
0.000 4.093 0.000
0.000 0.000 7.528
Ca Tm Cd
2 1 1
direct
0.000 0.000 0.232
0.000 0.000 0.768
0.500 0.500 0.500
0.500 0.500 0.000



Version iii
Ca2TmCd PBE relaxed; space-group type = P4/mmm (123); total magnetic moment = 0.00 μB per cell
1.0
4.874 0.000 0.000
0.000 4.874 0.000
0.000 0.000 5.238
Ca Tm Cd
2 1 1
direct
0.000 0.500 0.000
0.500 0.000 0.000
0.000 0.000 0.500
0.500 0.500 0.500



Result of the stability comparison: version i is the least stable of them.